(1)
# CaTb7Dy3 (GGA-PBE, optimized geometry)
data_CaTb7Dy3
_chemical_formula_sum 'Ca1 Tb7 Dy3'
_space_group_name_H-M_alt 'P 3 m 1'
_space_group_IT_number 156
_space_group_name_Hall 'P 3 -2"'
_cell_length_a 7.0984
_cell_length_b 7.0984
_cell_length_c 8.6418
_cell_angle_alpha 90.00
_cell_angle_beta 90.00
_cell_angle_gamma 120.00
loop_
_atom_site_label
_atom_site_type_symbol
_atom_site_fract_x
_atom_site_fract_y
_atom_site_fract_z
_atom_site_occupancy
Ca1 Ca 0.0000 0.0000 0.0000 1
Tb1 Tb 0.0049 0.5025 0.9984 1
Tb2 Tb 0.3333 0.6667 0.3242 1
Tb3 Tb 0.3365 0.1683 0.3351 1
Dy1 Dy 0.1697 0.3394 0.6572 1
# V	34.28	Å³ per atom
# VASP energy	-4.153	eV/atom
# DOS(E_F)	15.8	states/eV per cell

(2)
# CaTb2Dy2 (GGA-PBE, optimized geometry)
data_CaTb2Dy2
_chemical_formula_sum 'Ca2 Tb4 Dy4'
_space_group_name_H-M_alt 'C m m m'
_space_group_IT_number 65
_space_group_name_Hall '-C 2 2'
_cell_length_a 5.524
_cell_length_b 17.252
_cell_length_c 3.542
_cell_angle_alpha 90.00
_cell_angle_beta 90.00
_cell_angle_gamma 90.00
loop_
_atom_site_label
_atom_site_type_symbol
_atom_site_fract_x
_atom_site_fract_y
_atom_site_fract_z
_atom_site_occupancy
Ca1 Ca 0.000 0.000 0.000 1
Tb1 Tb 0.000 0.381 0.500 1
Dy1 Dy 0.000 0.201 0.000 1
# V	33.75	Å³ per atom
# VASP energy	-4.028	eV/atom
# DOS(E_F)	16.5	states/eV per cell

(3)
# CaTb2Dy6 (GGA-PBE, optimized geometry)
data_CaTb2Dy6
_chemical_formula_sum 'Ca2 Tb4 Dy12'
_space_group_name_H-M_alt 'P -1'
_space_group_IT_number 2
_space_group_name_Hall '-P 1'
_cell_length_a 6.764
_cell_length_b 9.231
_cell_length_c 9.642
_cell_angle_alpha 98.54
_cell_angle_beta 95.92
_cell_angle_gamma 95.54
loop_
_atom_site_label
_atom_site_type_symbol
_atom_site_fract_x
_atom_site_fract_y
_atom_site_fract_z
_atom_site_occupancy
Ca1 Ca 0.129 0.379 0.277 1
Tb1 Tb 0.210 0.955 0.725 1
Tb2 Tb 0.468 0.714 0.279 1
Dy1 Dy 0.022 0.262 0.615 1
Dy2 Dy 0.095 0.847 0.061 1
Dy3 Dy 0.248 0.492 0.943 1
Dy4 Dy 0.317 0.061 0.390 1
Dy5 Dy 0.352 0.603 0.612 1
Dy6 Dy 0.431 0.175 0.052 1
# V	32.69	Å³ per atom
# VASP energy	-4.274	eV/atom
# DOS(E_F)	31.0	states/eV per cell

(4)
# CaTb3Dy6 (GGA-PBE, optimized geometry)
data_CaTb3Dy6
_chemical_formula_sum 'Ca2 Tb6 Dy12'
_space_group_name_H-M_alt 'C 1 2/m 1'
_space_group_IT_number 12
_space_group_name_Hall '-C 2y'
_cell_length_a 11.488
_cell_length_b 6.618
_cell_length_c 9.580
_cell_angle_alpha 90.00
_cell_angle_beta 113.51
_cell_angle_gamma 90.00
loop_
_atom_site_label
_atom_site_type_symbol
_atom_site_fract_x
_atom_site_fract_y
_atom_site_fract_z
_atom_site_occupancy
Ca1 Ca 0.000 0.000 0.000 1
Tb1 Tb 0.000 0.500 0.500 1
Tb2 Tb 0.067 0.000 0.691 1
Dy1 Dy 0.141 0.500 0.923 1
Dy2 Dy 0.188 0.254 0.310 1
# V	33.40	Å³ per atom
# VASP energy	-4.095	eV/atom
# DOS(E_F)	36.3	states/eV per cell

(5)
# CaTb6Dy6 (GGA-PBE, optimized geometry)
data_CaTb6Dy6
_chemical_formula_sum 'Ca1 Tb6 Dy6'
_space_group_name_H-M_alt 'P 6/m m m'
_space_group_IT_number 191
_space_group_name_Hall '-P 6 2'
_cell_length_a 6.6797
_cell_length_b 6.6797
_cell_length_c 11.4100
_cell_angle_alpha 90.00
_cell_angle_beta 90.00
_cell_angle_gamma 120.00
loop_
_atom_site_label
_atom_site_type_symbol
_atom_site_fract_x
_atom_site_fract_y
_atom_site_fract_z
_atom_site_occupancy
Ca1 Ca 0.0000 0.0000 0.0000 1
Tb1 Tb 0.0000 0.5000 0.2475 1
Dy1 Dy 0.0000 0.0000 0.3517 1
Dy2 Dy 0.3333 0.6667 0.0000 1
Dy3 Dy 0.3333 0.6667 0.5000 1
# V	33.92	Å³ per atom
# VASP energy	-4.138	eV/atom
# DOS(E_F)	26.6	states/eV per cell

(6)
# CaTb6Dy (GGA-PBE, optimized geometry)
data_CaTb6Dy
_chemical_formula_sum 'Ca1 Tb6 Dy1'
_space_group_name_H-M_alt 'P -1'
_space_group_IT_number 2
_space_group_name_Hall '-P 1'
_cell_length_a 6.624
_cell_length_b 6.770
_cell_length_c 7.006
_cell_angle_alpha 117.26
_cell_angle_beta 104.79
_cell_angle_gamma 92.04
loop_
_atom_site_label
_atom_site_type_symbol
_atom_site_fract_x
_atom_site_fract_y
_atom_site_fract_z
_atom_site_occupancy
Ca1 Ca 0.000 0.000 0.000 1
Tb1 Tb 0.240 0.576 0.481 1
Tb2 Tb 0.254 0.541 0.995 1
Tb3 Tb 0.281 0.097 0.529 1
Dy1 Dy 0.500 0.000 0.000 1
# V	33.21	Å³ per atom
# VASP energy	-4.077	eV/atom
# DOS(E_F)	12.3	states/eV per cell

(7)
# CaTb4Dy2 (GGA-PBE, optimized geometry)
data_CaTb4Dy2
_chemical_formula_sum 'Ca3 Tb12 Dy6'
_space_group_name_H-M_alt 'R -3 m'
_space_group_IT_number 166
_space_group_name_Hall '-R 3 2"'
_cell_length_a 3.5751
_cell_length_b 3.5751
_cell_length_c 62.3407
_cell_angle_alpha 90.00
_cell_angle_beta 90.00
_cell_angle_gamma 120.00
loop_
_atom_site_label
_atom_site_type_symbol
_atom_site_fract_x
_atom_site_fract_y
_atom_site_fract_z
_atom_site_occupancy
Ca1 Ca 0.0000 0.0000 0.0000 1
Tb1 Tb 0.0000 0.0000 0.1435 1
Tb2 Tb 0.0000 0.0000 0.2817 1
Dy1 Dy 0.0000 0.0000 0.4303 1
# V	32.86	Å³ per atom
# VASP energy	-4.204	eV/atom
# DOS(E_F)	29.8	states/eV per cell

(8)
# CaTb2Dy (GGA-PBE, optimized geometry)
data_CaTb2Dy
_chemical_formula_sum 'Ca3 Tb6 Dy3'
_space_group_name_H-M_alt 'R 3 m'
_space_group_IT_number 160
_space_group_name_Hall 'R 3 -2"'
_cell_length_a 3.5973
_cell_length_b 3.5973
_cell_length_c 36.0891
_cell_angle_alpha 90.00
_cell_angle_beta 90.00
_cell_angle_gamma 120.00
loop_
_atom_site_label
_atom_site_type_symbol
_atom_site_fract_x
_atom_site_fract_y
_atom_site_fract_z
_atom_site_occupancy
Ca1 Ca 0.0000 0.0000 0.0000 1
Tb1 Tb 0.0000 0.0000 0.2455 1
Tb2 Tb 0.0000 0.0000 0.4222 1
Dy1 Dy 0.0000 0.0000 0.8341 1
# V	33.70	Å³ per atom
# DOS(E_F)	16.3	states/eV per cell
# offset from the most stable computed form	0.000	eV per atom

(9)
# CaTbDy2 (GGA-PBE, optimized geometry)
data_CaTbDy2
_chemical_formula_sum 'Ca4 Tb4 Dy8'
_space_group_name_H-M_alt 'F m -3 m'
_space_group_IT_number 225
_space_group_name_Hall '-F 4 2 3'
_cell_length_a 8.119
_cell_length_b 8.119
_cell_length_c 8.119
_cell_angle_alpha 90.00
_cell_angle_beta 90.00
_cell_angle_gamma 90.00
loop_
_atom_site_label
_atom_site_type_symbol
_atom_site_fract_x
_atom_site_fract_y
_atom_site_fract_z
_atom_site_occupancy
Ca1 Ca 0.000 0.000 0.000 1
Tb1 Tb 0.000 0.000 0.500 1
Dy1 Dy 0.250 0.250 0.250 1
# V	33.45	Å³ per atom
# DOS(E_F)	32.4	states/eV per cell
# offset from the most stable computed form	0.115	eV per atom

(10)
# CaTb2Dy (GGA-PBE, optimized geometry)
data_CaTb2Dy
_chemical_formula_sum 'Ca4 Tb8 Dy4'
_space_group_name_H-M_alt 'C 1 2/m 1'
_space_group_IT_number 12
_space_group_name_Hall '-C 2y'
_cell_length_a 24.023
_cell_length_b 3.491
_cell_length_c 6.448
_cell_angle_alpha 90.00
_cell_angle_beta 94.13
_cell_angle_gamma 90.00
loop_
_atom_site_label
_atom_site_type_symbol
_atom_site_fract_x
_atom_site_fract_y
_atom_site_fract_z
_atom_site_occupancy
Ca1 Ca 0.001 0.000 0.249 1
Tb1 Tb 0.128 0.500 0.035 1
Tb2 Tb 0.136 0.000 0.545 1
Dy1 Dy 0.248 0.000 0.248 1
# V	33.72	Å³ per atom
# DOS(E_F)	22.5	states/eV per cell
# offset from the most stable computed form	0.060	eV per atom

(11)
# CaTb6Dy4 (GGA-PBE, optimized geometry)
data_CaTb6Dy4
_chemical_formula_sum 'Ca2 Tb12 Dy8'
_space_group_name_H-M_alt 'I -4 2 m'
_space_group_IT_number 121
_space_group_name_Hall 'I -4 2'
_cell_length_a 6.528
_cell_length_b 6.528
_cell_length_c 17.412
_cell_angle_alpha 90.00
_cell_angle_beta 90.00
_cell_angle_gamma 90.00
loop_
_atom_site_label
_atom_site_type_symbol
_atom_site_fract_x
_atom_site_fract_y
_atom_site_fract_z
_atom_site_occupancy
Ca1 Ca 0.000 0.000 0.000 1
Tb1 Tb 0.000 0.500 0.000 1
Tb2 Tb 0.175 0.175 0.633 1
Dy1 Dy 0.186 0.186 0.824 1
# V	33.73	Å³ per atom
# VASP energy	-4.037	eV/atom
# DOS(E_F)	26.8	states/eV per cell

(12)
# CaTbDy (GGA-PBE, optimized geometry)
data_CaTbDy
_chemical_formula_sum 'Ca1 Tb1 Dy1'
_space_group_name_H-M_alt 'P 3 m 1'
_space_group_IT_number 156
_space_group_name_Hall 'P 3 -2"'
_cell_length_a 3.6178
_cell_length_b 3.6178
_cell_length_c 9.0888
_cell_angle_alpha 90.00
_cell_angle_beta 90.00
_cell_angle_gamma 120.00
loop_
_atom_site_label
_atom_site_type_symbol
_atom_site_fract_x
_atom_site_fract_y
_atom_site_fract_z
_atom_site_occupancy
Ca1 Ca 0.0000 0.0000 0.0000 1
Tb1 Tb 0.6667 0.3333 0.3491 1
Dy1 Dy 0.3333 0.6667 0.6526 1
# V	34.34	Å³ per atom
# DOS(E_F)	4.7	states/eV per cell
# offset from the most stable computed form	0.023	eV per atom